The following is a DFT calculation (PBE) of a relaxed structure of CdBrCl.

a = 6.674 Å, b = 3.954 Å, c = 6.915 Å
α = 90.00°, β = 91.38°, γ = 90.00°
Space group P2_1/m (No. 11)
Inequivalent atoms, fractional coordinates:
Cd: 0.002 0.250 0.247 [2 per cell]
Br: 0.240 0.250 0.588 [2 per cell]
Cl: 0.213 0.750 0.088 [2 per cell]

Summary:
The calculation puts the uncorrected formation energy at -0.97 eV per atom. The calculated total energy is -7.4 eV per formula unit. The density comes out at 4147 kg/m3.

The following is a DFT calculation (PBE) of a relaxed structure of NaCrH2.

a = 4.910 Å, b = 4.910 Å, c = 6.559 Å
α = 90.00°, β = 90.00°, γ = 90.00°
Space group I-42d (No. 122)
Inequivalent atoms, fractional coordinates:
Na: 0.000 0.000 0.000 [4 per cell]
Cr: 0.000 0.000 0.500 [4 per cell]
H: 0.175 0.250 0.625 [8 per cell]

Summary:
The calculated total energy is -16.2 eV per formula unit. The density comes out at 3234 kg/m3. The value obtained for the energy above the most stable polymorph in this dataset is 0.0000 eV per atom.

The following is a DFT calculation (PBE) of a relaxed structure of TmSi3Pt2.

a = 15.459 Å, b = 4.026 Å, c = 7.225 Å
α = 90.00°, β = 115.87°, γ = 90.00°
Space group C2/m (No. 12)
Inequivalent atoms, fractional coordinates:
Tm: 0.125 0.000 0.155 [4 per cell]
Si: 0.045 0.000 0.675 [4 per cell]
Si: 0.160 0.500 0.463 [4 per cell]
Si: 0.183 0.500 0.891 [4 per cell]
Pt: 0.012 0.500 0.817 [4 per cell]
Pt: 0.212 0.000 0.699 [4 per cell]

Summary:
The calculation puts the uncorrected formation energy at -0.79 eV per atom. The calculated total energy is -37.6 eV per formula unit. The density comes out at 10562 kg/m3.

The following is a DFT calculation (PBE) of a relaxed structure of NaCoOs.

a = 8.342 Å, b = 3.688 Å, c = 7.021 Å
α = 90.00°, β = 106.27°, γ = 90.00°
Space group Cm (No. 8)
Inequivalent atoms, fractional coordinates:
Na: 0.000 0.000 0.000 [2 per cell]
Na: 0.166 0.500 0.807 [2 per cell]
Co: 0.010 0.000 0.467 [2 per cell]
Co: 0.309 0.000 0.577 [2 per cell]
Os: 0.182 0.500 0.353 [2 per cell]
Os: 0.364 0.000 0.259 [2 per cell]

Summary:
For the formation energy from the elements, the calculation gives 641 meV/atom. The calculated total energy is -17.7 eV per formula unit. The density comes out at 8717 kg/m3. The value obtained for the energy above the most stable polymorph in this dataset is 0.2083 eV per atom.

The following is a DFT calculation (PBE) of a relaxed structure of Li4Sb3Au3.

a = 9.299 Å, b = 9.299 Å, c = 9.299 Å
α = 90.00°, β = 90.00°, γ = 90.00°
Space group I-43d (No. 220)
Inequivalent atoms, fractional coordinates:
Li: 0.103 0.397 0.603 [16 per cell]
Sb: 0.000 0.250 0.875 [12 per cell]
Au: 0.000 0.250 0.375 [12 per cell]

Summary:
The calculation puts the uncorrected formation energy at -0.43 eV per atom. The calculated total energy is -34.1 eV per formula unit. The density comes out at 8127 kg/m3.

The following is a DFT calculation (PBE) of a relaxed structure of AsIrSe2.

a = 5.337 Å, b = 5.337 Å, c = 5.199 Å
α = 90.00°, β = 90.00°, γ = 90.00°
Space group I4/mmm (No. 139)
Inequivalent atoms, fractional coordinates:
As: 0.000 0.000 0.000 [2 per cell]
Ir: 0.000 0.000 0.500 [2 per cell]
Se: 0.000 0.500 0.000 [4 per cell]

Summary:
The calculation puts the uncorrected formation energy at 0.19 eV per atom. The calculated total energy is -19.7 eV per formula unit. The density comes out at 9534 kg/m3.

The following is a DFT calculation (PBE) of a relaxed structure of AcLaSnHg.

a = 8.009 Å, b = 8.009 Å, c = 8.009 Å
α = 90.00°, β = 90.00°, γ = 90.00°
Space group F-43m (No. 216)
Inequivalent atoms, fractional coordinates:
Ac: 0.000 0.000 0.000 [4 per cell]
La: 0.000 0.000 0.500 [4 per cell]
Sn: 0.250 0.250 0.250 [4 per cell]
Hg: 0.250 0.250 0.750 [4 per cell]

Summary:
For the formation energy from the elements, the calculation gives -594 meV/atom. The calculated total energy is -15.7 eV per formula unit. The density comes out at 8859 kg/m3. The value obtained for the energy above the most stable polymorph in this dataset is 0.0000 eV per atom.

The following is a DFT calculation (PBE) of a relaxed structure of Dy2Ga2HgRh5.

a = 9.802 Å, b = 9.802 Å, c = 3.636 Å
α = 90.00°, β = 90.00°, γ = 90.00°
Space group P4/mbm (No. 127)
Inequivalent atoms, fractional coordinates:
Dy: 0.175 0.325 0.000 [4 per cell]
Ga: 0.123 0.623 0.000 [4 per cell]
Hg: 0.000 0.000 0.000 [2 per cell]
Rh: 0.000 0.500 0.500 [2 per cell]
Rh: 0.070 0.790 0.500 [8 per cell]

Summary:
For the formation energy from the elements, the calculation gives -677 meV/atom. The calculated total energy is -59.1 eV per formula unit. The density comes out at 11213 kg/m3.

The following is a DFT calculation (PBE) of a relaxed structure of Si2SnRhO.

a = 11.569 Å, b = 2.840 Å, c = 6.068 Å
α = 90.00°, β = 90.56°, γ = 90.00°
Space group Cm (No. 8)
Inequivalent atoms, fractional coordinates:
Si: 0.000 0.000 0.000 [2 per cell]
Si: 0.238 0.000 0.018 [2 per cell]
Sn: 0.118 0.000 0.627 [2 per cell]
Rh: 0.111 0.500 0.239 [2 per cell]
O: 0.346 0.500 0.013 [2 per cell]

Summary:
The calculation puts the uncorrected formation energy at -0.66 eV per atom. The calculated total energy is -30.5 eV per formula unit. The density comes out at 4895 kg/m3. The value obtained for the energy above the most stable polymorph in this dataset is 0.1238 eV per atom.

The following is a DFT calculation (PBE) of a relaxed structure of In2Ge2Au.

a = 3.694 Å, b = 3.694 Å, c = 16.785 Å
α = 90.00°, β = 90.00°, γ = 90.00°
Space group I4/mmm (No. 139)
Inequivalent atoms, fractional coordinates:
In: 0.000 0.000 0.095 [4 per cell]
Ge: 0.000 0.500 0.250 [4 per cell]
Au: 0.000 0.000 0.500 [2 per cell]

Summary:
For the formation energy from the elements, the calculation gives 115 meV/atom. The calculated total energy is -17.4 eV per formula unit. The density comes out at 8293 kg/m3. The value obtained for the energy above the most stable polymorph in this dataset is 0.0497 eV per atom.

The following is a DFT calculation (PBE) of a relaxed structure of CePr2Nb.

a = 3.2865 Å, b = 3.2865 Å, c = 36.0302 Å
α = 90.00°, β = 90.00°, γ = 120.00°
Space group R-3m (No. 166, hexagonal axes)
Inequivalent atoms, fractional coordinates:
Ce: 0.0000 0.0000 0.0000 [3 per cell]
Pr: 0.0000 0.0000 0.4182 [6 per cell]
Nb: 0.0000 0.0000 0.5000 [3 per cell]

Summary:
For the formation energy from the elements, the calculation gives 612 meV/atom. The calculated total energy is -23.1 eV per formula unit. The density comes out at 7610 kg/m3.

The following is a DFT calculation (PBE) of a relaxed structure of Ca2CdHg2.

a = 12.079 Å, b = 4.579 Å, c = 11.289 Å
α = 90.00°, β = 115.89°, γ = 90.00°
Space group C2/m (No. 12)
Inequivalent atoms, fractional coordinates:
Ca: 0.002 0.000 0.171 [4 per cell]
Ca: 0.186 0.000 0.607 [4 per cell]
Cd: 0.207 0.500 0.842 [4 per cell]
Hg: 0.041 0.500 0.389 [4 per cell]
Hg: 0.136 0.500 0.072 [4 per cell]

Summary:
For the formation energy from the elements, the calculation gives -426 meV/atom. The calculated total energy is -7.7 eV per formula unit. The density comes out at 7021 kg/m3. The value obtained for the energy above the most stable polymorph in this dataset is 0.0120 eV per atom.

The following is a DFT calculation (PBE) of a relaxed structure of Sc2UCo9.

a = 4.8271 Å, b = 4.8271 Å, c = 23.9626 Å
α = 90.00°, β = 90.00°, γ = 120.00°
Space group R-3m (No. 166, hexagonal axes)
Inequivalent atoms, fractional coordinates:
Sc: 0.0000 0.0000 0.1415 [6 per cell]
U: 0.0000 0.0000 0.0000 [3 per cell]
Co: 0.0000 0.0000 0.3347 [6 per cell]
Co: 0.0000 0.0000 0.5000 [3 per cell]
Co: 0.0047 0.5023 0.9159 [18 per cell]

Summary:
For the formation energy from the elements, the calculation gives -229 meV/atom. The calculated total energy is -90.7 eV per formula unit. The density comes out at 8843 kg/m3.

The following is a DFT calculation (PBE) of a relaxed structure of La6TlRu.

a = 8.464 Å, b = 10.198 Å, c = 6.615 Å
α = 90.00°, β = 106.29°, γ = 90.00°
Space group C2/m (No. 12)
Inequivalent atoms, fractional coordinates:
La: 0.103 0.194 0.296 [8 per cell]
La: 0.203 0.500 0.092 [4 per cell]
Tl: 0.000 0.500 0.500 [2 per cell]
Ru: 0.000 0.000 0.000 [2 per cell]

Summary:
For the formation energy from the elements, the calculation gives -146 meV/atom. The calculated total energy is -42.4 eV per formula unit. The density comes out at 6901 kg/m3.

The following is a DFT calculation (PBE) of a relaxed structure of Y6Co2Au.

a = 9.328 Å, b = 9.621 Å, c = 9.857 Å
α = 90.00°, β = 90.00°, γ = 90.00°
Space group Immm (No. 71)
Inequivalent atoms, fractional coordinates:
Y: 0.000 0.205 0.222 [8 per cell]
Y: 0.203 0.500 0.181 [8 per cell]
Y: 0.209 0.315 0.500 [8 per cell]
Co: 0.000 0.381 0.000 [4 per cell]
Co: 0.000 0.500 0.387 [4 per cell]
Au: 0.000 0.000 0.000 [2 per cell]
Au: 0.000 0.000 0.500 [2 per cell]

Summary:
For the formation energy from the elements, the calculation gives -317 meV/atom. The calculated total energy is -59.1 eV per formula unit. The density comes out at 6369 kg/m3.

The following is a DFT calculation (PBE) of a relaxed structure of Na6Tl3Hg2.

a = 12.333 Å, b = 15.025 Å, c = 3.594 Å
α = 90.00°, β = 90.00°, γ = 90.00°
Space group Cmmm (No. 65)
Inequivalent atoms, fractional coordinates:
Na: 0.000 0.124 0.000 [4 per cell]
Na: 0.215 0.362 0.000 [8 per cell]
Tl: 0.000 0.304 0.500 [4 per cell]
Tl: 0.000 0.500 0.000 [2 per cell]
Hg: 0.157 0.000 0.500 [4 per cell]

Summary:
For the formation energy from the elements, the calculation gives -96 meV/atom. The calculated total energy is -16.7 eV per formula unit. The density comes out at 5746 kg/m3. The value obtained for the energy above the most stable polymorph in this dataset is 0.0000 eV per atom.

The following is a DFT calculation (PBE) of a relaxed structure of TbTmHg.

a = 7.176 Å, b = 7.176 Å, c = 7.176 Å
α = 90.00°, β = 90.00°, γ = 90.00°
Space group F-43m (No. 216)
Inequivalent atoms, fractional coordinates:
Tb: 0.000 0.000 0.000 [4 per cell]
Tm: 0.000 0.000 0.500 [4 per cell]
Hg: 0.250 0.250 0.250 [4 per cell]

Summary:
For the formation energy from the elements, the calculation gives -115 meV/atom. The calculated total energy is -9.7 eV per formula unit. The density comes out at 9497 kg/m3. The value obtained for the energy above the most stable polymorph in this dataset is 0.2490 eV per atom.

The following is a DFT calculation (PBE) of a relaxed structure of Pa2AsSe.

a = 8.323 Å, b = 16.012 Å, c = 6.868 Å
α = 90.00°, β = 122.99°, γ = 90.00°
Space group C2/c (No. 15)
Inequivalent atoms, fractional coordinates:
Pa: 0.249 0.062 0.249 [8 per cell]
Pa: 0.250 0.188 0.750 [8 per cell]
As: 0.000 0.063 0.750 [4 per cell]
As: 0.000 0.312 0.750 [4 per cell]
Se: 0.000 0.187 0.250 [4 per cell]
Se: 0.000 0.438 0.250 [4 per cell]

Summary:
The calculation puts the uncorrected formation energy at -1.14 eV per atom. The calculated total energy is -31.7 eV per formula unit. The density comes out at 10658 kg/m3. The value obtained for the energy above the most stable polymorph in this dataset is 0.0015 eV per atom.

The following is a DFT calculation (PBE) of a relaxed structure of LaRu.

a = 7.393 Å, b = 7.393 Å, c = 7.393 Å
α = 90.00°, β = 90.00°, γ = 90.00°
Space group Pm-3n (No. 223)
Inequivalent atoms, fractional coordinates:
La: 0.000 0.250 0.500 [6 per cell]
Ru: 0.000 0.500 0.250 [6 per cell]

Summary:
For the formation energy from the elements, the calculation gives 791 meV/atom. The calculated total energy is -12.6 eV per formula unit. The density comes out at 5917 kg/m3.

The following is a DFT calculation (PBE) of a relaxed structure of HgGe2Pd.

a = 4.403 Å, b = 4.403 Å, c = 16.900 Å
α = 90.00°, β = 90.00°, γ = 90.00°
Space group I-42d (No. 122)
Inequivalent atoms, fractional coordinates:
Hg: 0.000 0.000 0.000 [4 per cell]
Ge: 0.195 0.250 0.625 [8 per cell]
Pd: 0.000 0.000 0.500 [4 per cell]

Summary:
For the formation energy from the elements, the calculation gives 61 meV/atom. The calculated total energy is -14.5 eV per formula unit. The density comes out at 9171 kg/m3.